{"formula": "ScAgSb2", "functional": "PBE", "state": "optimized geometry", "e_form_raw_ev_per_atom": -0.231, "cell": [[4.242, -2.037, 0.000], [4.242, 2.037, 0.000], [-1.657, 0.000, 5.708]], "species": ["Sc", "Ag", "Sb", "Sb"], "frac_coords": [[0.000, 0.000, 0.000], [0.500, 0.500, 0.500], [0.254, 0.254, 0.752], [0.746, 0.746, 0.248]]}


{"formula": "KIr2Pb", "functional": "PBE", "state": "optimized geometry", "formation_energy_kj_per_mol_atoms": 97.0, "cell": [[4.818, 0.000, 0.000], [0.000, 4.818, 0.000], [0.000, 0.000, 3.414]], "species": ["K", "Ir", "Ir", "Pb"], "frac_coords": [[0.000, 0.000, 0.000], [0.000, 0.500, 0.500], [0.500, 0.000, 0.500], [0.500, 0.500, 0.000]]}


| no. | theoretical density (Mg/m³) |
| --- | --- |
| 1 | 6.67 |
| 2 | 13.22 |